No. 1
# GGA-PBE Er8Co2Pb, optimized geometry
data_Er8Co2Pb
_chemical_formula_sum 'Er16 Co4 Pb2'
_space_group_name_H-M_alt 'C 1 2/m 1'
_space_group_IT_number 12
_cell_length_a 8.573
_cell_length_b 13.029
_cell_length_c 5.303
_cell_angle_alpha 90.00
_cell_angle_beta 103.43
_cell_angle_gamma 90.00
loop_
_space_group_symop_operation_xyz
'x,y,z'
'-x,-y,-z'
'-x,y,-z'
'x,-y,z'
'x+1/2,y+1/2,z'
'-x+1/2,-y+1/2,-z'
'-x+1/2,y+1/2,-z'
'x+1/2,-y+1/2,z'
loop_
_atom_site_label
_atom_site_type_symbol
_atom_site_fract_x
_atom_site_fract_y
_atom_site_fract_z
_atom_site_occupancy
Er1 Er 0.000 0.249 0.000 1
Er2 Er 0.107 0.000 0.797 1
Er3 Er 0.202 0.368 0.575 1
Co1 Co 0.000 0.192 0.500 1
Pb1 Pb 0.000 0.500 0.000 1
# magnetization: 0.00 μB/f.u.
# energy relative to the elements: -0.1597 eV per atom
# final energy: -112.36 eV for the cell shown

=====

No. 2
# GGA-PBE Ho4InAg2Pt, optimized geometry
data_Ho4InAg2Pt
_chemical_formula_sum 'Ho12 In3 Ag6 Pt3'
_space_group_name_H-M_alt 'R -3 m'
_space_group_IT_number 166
_space_group_name_Hall '-R 3 2"'
_cell_length_a 5.1104
_cell_length_b 5.1104
_cell_length_c 25.0131
_cell_angle_alpha 90.00
_cell_angle_beta 90.00
_cell_angle_gamma 120.00
loop_
_atom_site_label
_atom_site_type_symbol
_atom_site_fract_x
_atom_site_fract_y
_atom_site_fract_z
_atom_site_occupancy
Ho1 Ho 0.0000 0.0000 0.1162 1
Ho2 Ho 0.0000 0.0000 0.3685 1
In1 In 0.0000 0.0000 0.5000 1
Ag1 Ag 0.0000 0.0000 0.2406 1
Pt1 Pt 0.0000 0.0000 0.0000 1
# magnetization: 0.00 μB/f.u.
# energy relative to the elements: -0.6190 eV per atom
# final energy: -113.23 eV for the cell shown

=====

No. 3
# GGA-PBE CaTmSc2Hg4, optimized geometry
data_CaTmSc2Hg4
_chemical_formula_sum 'Ca3 Tm3 Sc6 Hg12'
_space_group_name_H-M_alt 'R -3 m'
_space_group_IT_number 166
_space_group_name_Hall '-R 3 2"'
_cell_length_a 5.1158
_cell_length_b 5.1158
_cell_length_c 25.0935
_cell_angle_alpha 90.00
_cell_angle_beta 90.00
_cell_angle_gamma 120.00
loop_
_atom_site_label
_atom_site_type_symbol
_atom_site_fract_x
_atom_site_fract_y
_atom_site_fract_z
_atom_site_occupancy
Ca1 Ca 0.0000 0.0000 0.0000 1
Tm1 Tm 0.0000 0.0000 0.5000 1
Sc1 Sc 0.0000 0.0000 0.2508 1
Hg1 Hg 0.0000 0.0000 0.1264 1
Hg2 Hg 0.0000 0.0000 0.3768 1
# magnetization: 0.00 μB/f.u.
# energy relative to the elements: -0.4514 eV per atom
# final energy: -71.86 eV for the cell shown

=====

No. 4
# GGA-PBE TaSb2Mo, optimized geometry
data_TaSb2Mo
_chemical_formula_sum 'Ta4 Sb8 Mo4'
_space_group_name_H-M_alt 'F m -3 m'
_space_group_IT_number 225
_space_group_name_Hall '-F 4 2 3'
_cell_length_a 6.746
_cell_length_b 6.746
_cell_length_c 6.746
_cell_angle_alpha 90.00
_cell_angle_beta 90.00
_cell_angle_gamma 90.00
loop_
_atom_site_label
_atom_site_type_symbol
_atom_site_fract_x
_atom_site_fract_y
_atom_site_fract_z
_atom_site_occupancy
Ta1 Ta 0.000 0.000 0.000 1
Sb1 Sb 0.250 0.250 0.250 1
Mo1 Mo 0.000 0.000 0.500 1
# magnetization: 0.90 μB/f.u.
# formation energy (no corrections): 252 meV/atom
# final energy: -119.68 eV for the cell shown

=====

No. 5
# GGA-PBE Sn2PdBr, optimized geometry
data_Sn2PdBr
_chemical_formula_sum 'Sn8 Pd4 Br4'
_space_group_name_H-M_alt 'I -4 2 d'
_space_group_IT_number 122
_space_group_name_Hall 'I -4 2bw'
_cell_length_a 6.251
_cell_length_b 6.251
_cell_length_c 13.975
_cell_angle_alpha 90.00
_cell_angle_beta 90.00
_cell_angle_gamma 90.00
loop_
_atom_site_label
_atom_site_type_symbol
_atom_site_fract_x
_atom_site_fract_y
_atom_site_fract_z
_atom_site_occupancy
Sn1 Sn 0.171 0.250 0.125 1
Pd1 Pd 0.000 0.000 0.000 1
Br1 Br 0.000 0.000 0.500 1
# magnetization: 0.00 μB/f.u.
# formation energy (no corrections): -130 meV/atom
# final energy: -61.56 eV for the cell shown

=====

No. 6
# GGA-PBE Ce2ZnAs4Pd3, optimized geometry
data_Ce2ZnAs4Pd3
_chemical_formula_sum 'Ce2 Zn1 As4 Pd3'
_space_group_name_H-M_alt 'P -4 m 2'
_space_group_IT_number 115
_cell_length_a 4.467
_cell_length_b 4.467
_cell_length_c 9.905
_cell_angle_alpha 90.00
_cell_angle_beta 90.00
_cell_angle_gamma 90.00
loop_
_space_group_symop_operation_xyz
'x,y,z'
'y,-x,-z'
'-x,-y,z'
'-y,x,-z'
'-x,y,z'
'-y,-x,-z'
'x,-y,z'
'y,x,-z'
loop_
_atom_site_label
_atom_site_type_symbol
_atom_site_fract_x
_atom_site_fract_y
_atom_site_fract_z
_atom_site_occupancy
Ce1 Ce 0.000 0.500 0.242 1
Zn1 Zn 0.000 0.000 0.500 1
As1 As 0.000 0.000 0.000 1
As2 As 0.000 0.500 0.634 1
As3 As 0.500 0.500 0.000 1
Pd1 Pd 0.000 0.500 0.881 1
Pd2 Pd 0.500 0.500 0.500 1
# magnetization: 1.71 μB/f.u.
# energy relative to the elements: -0.7550 eV per atom
# final energy: -54.87 eV for the cell shown

=====

No. 7
# GGA-PBE Na16Tl6Hg7, optimized geometry
data_Na16Tl6Hg7
_chemical_formula_sum 'Na64 Tl24 Hg28'
_space_group_name_H-M_alt 'F m -3 m'
_space_group_IT_number 225
_space_group_name_Hall '-F 4 2 3'
_cell_length_a 14.966
_cell_length_b 14.966
_cell_length_c 14.966
_cell_angle_alpha 90.00
_cell_angle_beta 90.00
_cell_angle_gamma 90.00
loop_
_atom_site_label
_atom_site_type_symbol
_atom_site_fract_x
_atom_site_fract_y
_atom_site_fract_z
_atom_site_occupancy
Na1 Na 0.122 0.122 0.122 1
Na2 Na 0.137 0.137 0.363 1
Tl1 Tl 0.000 0.000 0.266 1
Hg1 Hg 0.000 0.000 0.500 1
Hg2 Hg 0.000 0.250 0.250 1
# magnetization: 0.00 μB/f.u.
# energy relative to the elements: -0.1395 eV per atom
# final energy: -165.84 eV for the cell shown

=====

No. 8
# GGA-PBE Pr2Ga9Ni3, optimized geometry
data_Pr2Ga9Ni3
_chemical_formula_sum 'Pr8 Ga36 Ni12'
_space_group_name_H-M_alt 'C 1 2/c 1'
_space_group_IT_number 15
_cell_length_a 13.051
_cell_length_b 7.532
_cell_length_c 10.629
_cell_angle_alpha 90.00
_cell_angle_beta 114.29
_cell_angle_gamma 90.00
loop_
_space_group_symop_operation_xyz
'x,y,z'
'-x,-y,-z'
'-x,y,-z+1/2'
'x,-y,z+1/2'
'x+1/2,y+1/2,z'
'-x+1/2,-y+1/2,-z'
'-x+1/2,y+1/2,-z+1/2'
'x+1/2,-y+1/2,z+1/2'
loop_
_atom_site_label
_atom_site_type_symbol
_atom_site_fract_x
_atom_site_fract_y
_atom_site_fract_z
_atom_site_occupancy
Pr1 Pr 0.168 0.083 0.251 1
Ga1 Ga 0.000 0.375 0.250 1
Ga2 Ga 0.061 0.085 0.933 1
Ga3 Ga 0.101 0.416 0.054 1
Ga4 Ga 0.104 0.314 0.749 1
Ga5 Ga 0.226 0.419 0.431 1
Ni1 Ni 0.084 0.247 0.501 1
Ni2 Ni 0.250 0.250 0.000 1
# magnetization: 0.00 μB/f.u.
# energy relative to the elements: -0.4916 eV per atom
# final energy: -244.11 eV for the cell shown

=====

No. 9
# GGA-PBE MgTc2Os, optimized geometry
data_MgTc2Os
_chemical_formula_sum 'Mg2 Tc4 Os2'
_space_group_name_H-M_alt 'C m m m'
_space_group_IT_number 65
_space_group_name_Hall '-C 2 2'
_cell_length_a 2.903
_cell_length_b 4.569
_cell_length_c 9.234
_cell_angle_alpha 90.00
_cell_angle_beta 90.00
_cell_angle_gamma 90.00
loop_
_atom_site_label
_atom_site_type_symbol
_atom_site_fract_x
_atom_site_fract_y
_atom_site_fract_z
_atom_site_occupancy
Mg1 Mg 0.000 0.000 0.000 1
Tc1 Tc 0.000 0.500 0.258 1
Os1 Os 0.000 0.000 0.500 1
# magnetization: 0.00 μB/f.u.
# energy relative to the elements: 0.3543 eV per atom
# final energy: -64.28 eV for the cell shown

=====

No. 10
# GGA-PBE BeP2Pt, optimized geometry
data_BeP2Pt
_chemical_formula_sum 'Be2 P4 Pt2'
_space_group_name_H-M_alt 'I m m 2'
_space_group_IT_number 44
_cell_length_a 3.168
_cell_length_b 4.717
_cell_length_c 7.338
_cell_angle_alpha 90.00
_cell_angle_beta 90.00
_cell_angle_gamma 90.00
loop_
_space_group_symop_operation_xyz
'x,y,z'
'-x,-y,z'
'-x,y,z'
'x,-y,z'
'x+1/2,y+1/2,z+1/2'
'-x+1/2,-y+1/2,z+1/2'
'-x+1/2,y+1/2,z+1/2'
'x+1/2,-y+1/2,z+1/2'
loop_
_atom_site_label
_atom_site_type_symbol
_atom_site_fract_x
_atom_site_fract_y
_atom_site_fract_z
_atom_site_occupancy
Be1 Be 0.000 0.000 0.000 1
P1 P 0.000 0.000 0.454 1
P2 P 0.000 0.500 0.730 1
Pt1 Pt 0.000 0.500 0.253 1
# magnetization: 0.00 μB/f.u.
# energy relative to the elements: 0.2429 eV per atom
# final energy: -39.23 eV for the cell shown

=====

No. 11
# GGA-PBE In3GaO6, optimized geometry
data_In3GaO6
_chemical_formula_sum 'In12 Ga4 O24'
_space_group_name_H-M_alt 'C m c 21'
_space_group_IT_number 36
_cell_length_a 8.657
_cell_length_b 11.103
_cell_length_c 5.295
_cell_angle_alpha 90.00
_cell_angle_beta 90.00
_cell_angle_gamma 90.00
loop_
_space_group_symop_operation_xyz
'x,y,z'
'-x,-y,z+1/2'
'-x,y,z'
'x,-y,z+1/2'
'x+1/2,y+1/2,z'
'-x+1/2,-y+1/2,z+1/2'
'-x+1/2,y+1/2,z'
'x+1/2,-y+1/2,z+1/2'
loop_
_atom_site_label
_atom_site_type_symbol
_atom_site_fract_x
_atom_site_fract_y
_atom_site_fract_z
_atom_site_occupancy
In1 In 0.000 0.099 0.000 1
In2 In 0.195 0.392 0.059 1
Ga1 Ga 0.000 0.306 0.600 1
O1 O 0.000 0.297 0.254 1
O2 O 0.000 0.448 0.795 1
O3 O 0.158 0.227 0.782 1
O4 O 0.164 0.025 0.272 1
# magnetization: 0.00 μB/f.u.
# formation energy (no corrections): -1568 meV/atom
# final energy: -226.70 eV for the cell shown

=====

No. 12
# GGA-PBE Al4NiCl, optimized geometry
data_Al4NiCl
_chemical_formula_sum 'Al16 Ni4 Cl4'
_space_group_name_H-M_alt 'F -4 3 m'
_space_group_IT_number 216
_space_group_name_Hall 'F -4 2 3'
_cell_length_a 7.523
_cell_length_b 7.523
_cell_length_c 7.523
_cell_angle_alpha 90.00
_cell_angle_beta 90.00
_cell_angle_gamma 90.00
loop_
_atom_site_label
_atom_site_type_symbol
_atom_site_fract_x
_atom_site_fract_y
_atom_site_fract_z
_atom_site_occupancy
Al1 Al 0.123 0.123 0.377 1
Ni1 Ni 0.250 0.250 0.750 1
Cl1 Cl 0.000 0.000 0.000 1
# magnetization: 0.00 μB/f.u.
# formation energy (no corrections): 317 meV/atom
# final energy: -82.78 eV for the cell shown